First-principles (PBEsol) data for V2CuP3O12 after structural relaxation, as listed in Alexandria via LeMat-Bulk.

Space group: No. 167
DFT total energy (eV/atom): -7.862

Unit cell a=8.4848 b=8.4848 c=8.4253 alpha=59.77 beta=59.77 gamma=60.00
Each line ends with the local moment (μB).
Sites, in units of the cell vectors:
V  0.8595  0.8595  0.4216  1.11
V  0.6405  0.6405  0.0784  1.11
V  0.3595  0.3595  0.9216  1.11
V  0.1405  0.1405  0.5784  1.11
Cu  0.0000  0.0000  0.0000  -0.23
Cu  0.5000  0.5000  0.5000  -0.23
P  0.9605  0.2500  0.2500  0.01
P  0.5395  0.9605  0.2500  0.01
P  0.2500  0.5395  0.2500  0.01
P  0.7500  0.4605  0.7500  0.01
P  0.4605  0.0395  0.7500  0.01
P  0.0395  0.7500  0.7500  0.01
O  0.8750  0.6903  0.9339  -0.02
O  0.6903  0.5008  0.9339  -0.02
O  0.9431  0.0841  0.2371  -0.02
O  0.5008  0.8750  0.9339  -0.02
O  0.0008  0.1903  0.4339  -0.02
O  0.7643  0.4159  0.2629  -0.02
O  0.7357  0.9431  0.2371  -0.02
O  0.5569  0.7643  0.2629  -0.02
O  0.8097  0.6250  0.5661  -0.02
O  0.4159  0.5569  0.2629  -0.02
O  0.9159  0.2643  0.7629  -0.02
O  0.6250  0.9992  0.5661  -0.02
O  0.3750  0.0008  0.4339  -0.02
O  0.0841  0.7357  0.2371  -0.02
O  0.5841  0.4431  0.7371  -0.02
O  0.1903  0.3750  0.4339  -0.02
O  0.4431  0.2357  0.7371  -0.02
O  0.2643  0.0569  0.7629  -0.02
O  0.2357  0.5841  0.7371  -0.02
O  0.9992  0.8097  0.5661  -0.02
O  0.4992  0.1250  0.0661  -0.02
O  0.0569  0.9159  0.7629  -0.02
O  0.3097  0.4992  0.0661  -0.02
O  0.1250  0.3097  0.0661  -0.02


First-principles (PBEsol) data for ZnCuP2O7 after structural relaxation, as listed in Alexandria via LeMat-Bulk.

Space group: No. 14
DFT total energy (eV/atom): -6.721

Unit cell a=6.8911 b=8.2245 c=9.0566 alpha=90.00 beta=111.63 gamma=90.00
Each line ends with the local moment (μB).
Sites, in units of the cell vectors:
Zn  0.7638  0.9350  0.8938  0.00
Zn  0.2362  0.4350  0.6062  0.00
Zn  0.7638  0.5650  0.3938  0.00
Zn  0.2362  0.0650  0.1062  0.00
Cu  0.2833  0.0596  0.6572  0.64
Cu  0.7167  0.9404  0.3428  0.64
Cu  0.7167  0.5596  0.8428  0.64
Cu  0.2833  0.4404  0.1572  0.64
P  0.0522  0.7657  0.2364  0.01
P  0.5452  0.2734  0.9740  0.00
P  0.0522  0.7343  0.7364  0.01
P  0.5452  0.2266  0.4740  0.00
P  0.9478  0.2657  0.2636  0.01
P  0.4548  0.7734  0.5260  0.00
P  0.4548  0.7266  0.0260  0.00
P  0.9478  0.2343  0.7636  0.01
O  0.7567  0.3282  0.1112  0.00
O  0.0181  0.5975  0.6149  0.01
O  0.0181  0.9025  0.1149  0.01
O  0.5034  0.4134  0.8535  0.08
O  0.2433  0.6718  0.8888  0.00
O  0.9022  0.1029  0.3194  0.06
O  0.4966  0.5866  0.1465  0.08
O  0.5679  0.1093  0.9062  0.01
O  0.3772  0.2344  0.5492  0.07
O  0.0978  0.8971  0.6806  0.06
O  0.9022  0.3971  0.8194  0.06
O  0.8673  0.7428  0.7943  0.07
O  0.1327  0.2428  0.7057  0.07
O  0.7567  0.1718  0.6112  0.00
O  0.0978  0.6029  0.1806  0.06
O  0.9819  0.0975  0.8851  0.01
O  0.1327  0.2572  0.2057  0.07
O  0.4321  0.8907  0.0938  0.01
O  0.3772  0.2656  0.0492  0.07
O  0.6228  0.7344  0.9508  0.07
O  0.4966  0.9134  0.6465  0.08
O  0.5679  0.3907  0.4062  0.01
O  0.4321  0.6093  0.5938  0.01
O  0.9819  0.4025  0.3851  0.01
O  0.8673  0.7572  0.2943  0.07
O  0.5034  0.0866  0.3535  0.08
O  0.6228  0.7656  0.4508  0.07
O  0.2433  0.8282  0.3888  0.00


First-principles (PBEsol) data for ZnCuP2O7 after structural relaxation, as listed in Alexandria via LeMat-Bulk.

Space group: No. 2
DFT total energy (eV/atom): -6.711

Unit cell a=6.2754 b=6.0776 c=7.1408 alpha=75.78 beta=69.88 gamma=80.93
Each line ends with the local moment (μB).
Sites, in units of the cell vectors:
Zn  0.7148  0.0592  0.8025  0.00
Zn  0.2852  0.9408  0.1975  0.00
Cu  0.9066  0.3374  0.2239  0.66
Cu  0.0934  0.6626  0.7761  0.66
P  0.7896  0.8411  0.2353  0.00
P  0.2104  0.1589  0.7647  0.00
P  0.3621  0.3996  0.3259  0.01
P  0.6379  0.6004  0.6741  0.01
O  0.3785  0.2496  0.5444  0.00
O  0.6215  0.7504  0.4556  0.00
O  0.9360  0.0115  0.2539  0.06
O  0.0640  0.9885  0.7461  0.06
O  0.7513  0.3680  0.6350  0.01
O  0.2487  0.6320  0.3650  0.01
O  0.3925  0.6045  0.8099  0.07
O  0.6075  0.3955  0.1901  0.07
O  0.3709  0.0432  0.8866  0.00
O  0.6291  0.9568  0.1134  0.00
O  0.0503  0.3488  0.8540  0.08
O  0.9497  0.6512  0.1460  0.08
O  0.7852  0.7362  0.7348  0.07
O  0.2148  0.2638  0.2652  0.07


First-principles (PBEsol) data for ZnCuP2O7 after structural relaxation, as listed in Alexandria via LeMat-Bulk.

Space group: No. 5
DFT total energy (eV/atom): -6.704

Unit cell a=4.5469 b=5.2965 c=5.2965 alpha=101.41 beta=101.01 gamma=101.01
Each line ends with the local moment (μB).
Sites, in units of the cell vectors:
Zn  0.5000  0.6814  0.3186  0.00
Cu  0.5000  0.3024  0.6976  0.64
P  0.9071  0.2032  0.2130  0.00
P  0.0929  0.7870  0.7968  0.00
O  0.7208  0.3681  0.0690  0.07
O  0.7274  0.0471  0.3675  0.01
O  0.2726  0.6325  0.9529  0.01
O  0.2792  0.9310  0.6319  0.07
O  0.2186  0.3742  0.3942  0.06
O  0.7814  0.6058  0.6258  0.06
O  0.0000  0.0105  0.9895  0.00


First-principles (PBEsol) data for Sr2YCu3Pb2O8 after structural relaxation, as listed in Alexandria via LeMat-Bulk.

Space group: No. 10
DFT total energy (eV/atom): -6.344

Unit cell a=3.7791 b=3.7963 c=15.6076 alpha=91.36 beta=90.00 gamma=90.00
Sites, in units of the cell vectors:
Sr  0.0000  0.9783  0.7796
Sr  0.0000  0.0217  0.2204
Y  0.0000  0.0000  0.0000
Cu  0.5000  0.4898  0.8961
Cu  0.5000  0.5102  0.1039
Cu  0.0000  0.0000  0.5000
Pb  0.5000  0.4871  0.6107
Pb  0.5000  0.5129  0.3893
O  0.5000  0.4723  0.7495
O  0.5000  0.5277  0.2505
O  0.0000  0.4911  0.9080
O  0.5000  0.0091  0.0925
O  0.0000  0.5089  0.0920
O  0.5000  0.9909  0.9075
O  0.0000  0.9044  0.6153
O  0.0000  0.0956  0.3847


First-principles (PBEsol) data for Sr2YCu3Pb2O8 after structural relaxation, as listed in Alexandria via LeMat-Bulk.

Space group: No. 53
DFT total energy (eV/atom): -6.346

Unit cell a=5.3180 b=5.3843 c=15.6704 alpha=90.00 beta=90.00 gamma=90.00
Sites, in units of the cell vectors:
Sr  0.0000  0.9999  0.2204
Sr  0.5000  0.5001  0.2204
Sr  0.5000  0.4999  0.7796
Sr  0.0000  0.0001  0.7796
Y  0.0000  0.0000  0.0000
Y  0.5000  0.5000  0.0000
Cu  0.0000  0.0000  0.5000
Cu  0.5000  0.5000  0.5000
Cu  0.0000  0.5004  0.1045
Cu  0.5000  0.9996  0.1045
Cu  0.5000  0.0004  0.8955
Cu  0.0000  0.4996  0.8955
Pb  0.0000  0.4942  0.3886
Pb  0.5000  0.0058  0.3886
Pb  0.5000  0.9942  0.6114
Pb  0.0000  0.5058  0.6114
O  0.0000  0.5104  0.2502
O  0.5000  0.9896  0.2502
O  0.5000  0.0104  0.7498
O  0.0000  0.4896  0.7498
O  0.0000  0.0580  0.3841
O  0.5000  0.4420  0.3841
O  0.5000  0.5580  0.6159
O  0.0000  0.9420  0.6159
O  0.2500  0.7500  0.0912
O  0.2500  0.2500  0.9088
O  0.2500  0.2500  0.0929
O  0.2500  0.7500  0.9071
O  0.7500  0.2500  0.0929
O  0.7500  0.7500  0.9071
O  0.7500  0.7500  0.0912
O  0.7500  0.2500  0.9088


First-principles (PBEsol) data for Sr2YCu2PbO7 after structural relaxation, as listed in Alexandria via LeMat-Bulk.

Space group: No. 123
DFT total energy (eV/atom): -6.561

Unit cell a=3.7711 b=3.7711 c=12.1159 alpha=90.00 beta=90.00 gamma=90.00
Sites, in units of the cell vectors:
Sr  0.5000  0.5000  0.2148
Sr  0.5000  0.5000  0.7852
Y  0.5000  0.5000  0.5000
Cu  0.0000  0.0000  0.3621
Cu  0.0000  0.0000  0.6379
Pb  0.0000  0.0000  0.0000
O  0.0000  0.5000  0.3814
O  0.0000  0.5000  0.6186
O  0.5000  0.0000  0.3814
O  0.5000  0.0000  0.6186
O  0.0000  0.0000  0.1860
O  0.0000  0.0000  0.8140
O  0.5000  0.5000  0.0000


First-principles (PBEsol) data for Pr2Cu2O5 after structural relaxation, as listed in Alexandria via LeMat-Bulk.

Space group: No. 55
DFT total energy (eV/atom): -7.142

Unit cell a=3.7906 b=5.5063 c=10.1588 alpha=90.00 beta=90.00 gamma=90.00
Sites, in units of the cell vectors:
Pr  0.5000  0.8366  0.1458
Pr  0.5000  0.1634  0.8542
Pr  0.5000  0.3366  0.3542
Pr  0.5000  0.6634  0.6458
Cu  0.0000  0.8097  0.4027
Cu  0.0000  0.1903  0.5973
Cu  0.0000  0.3097  0.0973
Cu  0.0000  0.6903  0.9027
O  0.5000  0.7849  0.3985
O  0.5000  0.2151  0.6015
O  0.5000  0.2849  0.1015
O  0.5000  0.7151  0.8985
O  0.0000  0.0815  0.2850
O  0.0000  0.9185  0.7150
O  0.0000  0.5815  0.2150
O  0.0000  0.4185  0.7850
O  0.0000  0.5000  0.5000
O  0.0000  0.0000  0.0000


First-principles (PBEsol) data for PrCuO2 after structural relaxation, as listed in Alexandria via LeMat-Bulk.

Space group: No. 166
DFT total energy (eV/atom): -7.208

Unit cell a=3.7574 b=3.7574 c=6.0371 alpha=71.87 beta=71.87 gamma=60.00
Sites, in units of the cell vectors:
Pr  0.5000  0.5000  0.5000
Cu  0.0000  0.0000  0.0000
O  0.8940  0.8940  0.3181
O  0.1060  0.1060  0.6819


First-principles (PBEsol) data for Sr6Pr3Cu6O17 after structural relaxation, as listed in Alexandria via LeMat-Bulk.

Space group: No. 44
DFT total energy (eV/atom): -6.541

Unit cell a=3.7425 b=11.3918 c=11.6611 alpha=119.24 beta=99.23 gamma=90.00
Sites, in units of the cell vectors:
Sr  0.1734  0.5002  0.3569
Sr  0.8165  0.4998  0.6431
Sr  0.8165  0.1433  0.6431
Sr  0.1734  0.8567  0.3569
Sr  0.1994  0.1972  0.3943
Sr  0.8051  0.8028  0.6057
Pr  0.9972  0.0000  0.0000
Pr  0.0119  0.2958  0.0000
Pr  0.0119  0.7042  0.0000
Cu  0.6027  0.9557  0.2043
Cu  0.3984  0.0443  0.7957
Cu  0.3984  0.7514  0.7957
Cu  0.6027  0.2486  0.2043
Cu  0.5440  0.5861  0.1722
Cu  0.3718  0.4139  0.8278
O  0.4975  0.8623  0.0000
O  0.4975  0.1377  0.0000
O  0.0940  0.2363  0.1872
O  0.9068  0.7637  0.8128
O  0.9068  0.0491  0.8128
O  0.0940  0.9509  0.1872
O  0.4186  0.5804  0.8366
O  0.5820  0.4196  0.1634
O  0.5820  0.7438  0.1634
O  0.4186  0.2562  0.8366
O  0.7025  0.6798  0.3595
O  0.3429  0.3202  0.6405
O  0.7029  0.0437  0.4017
O  0.3012  0.9563  0.5983
O  0.3012  0.6420  0.5983
O  0.7029  0.3580  0.4017
O  0.2304  0.5000  0.0000


First-principles (PBEsol) data for Sr2Pr2Tl2Cu3O10 after structural relaxation, as listed in Alexandria via LeMat-Bulk.

Space group: No. 139
DFT total energy (eV/atom): -6.229

Unit cell a=3.8746 b=3.8746 c=17.7361 alpha=96.27 beta=96.27 gamma=90.00
Sites, in units of the cell vectors:
Sr  0.6470  0.6470  0.2939
Sr  0.3530  0.3530  0.7061
Pr  0.5491  0.5491  0.0983
Pr  0.4509  0.4509  0.9017
Tl  0.7815  0.7815  0.5631
Tl  0.2185  0.2185  0.4369
Cu  0.9051  0.9051  0.8102
Cu  0.0949  0.0949  0.1898
Cu  0.0000  0.0000  0.0000
O  0.4093  0.9093  0.8187
O  0.5907  0.0907  0.1813
O  0.9093  0.4093  0.8187
O  0.0907  0.5907  0.1813
O  0.5000  0.0000  0.0000
O  0.0000  0.5000  0.0000
O  0.7195  0.7195  0.4389
O  0.2805  0.2805  0.5611
O  0.8425  0.8425  0.6850
O  0.1575  0.1575  0.3150


First-principles (PBEsol) data for CuPtO2 after structural relaxation, as listed in Alexandria via LeMat-Bulk.

Space group: No. 53
DFT total energy (eV/atom): -5.935

Unit cell a=4.2155 b=4.2281 c=5.2203 alpha=90.00 beta=90.00 gamma=90.00
Sites, in units of the cell vectors:
Cu  0.0000  0.5000  0.0000
Cu  0.0000  0.0000  0.5000
Pt  0.5000  0.5000  0.5000
Pt  0.5000  0.0000  0.0000
O  0.2371  0.7500  0.2500
O  0.2371  0.7500  0.7500
O  0.7629  0.2500  0.2500
O  0.7629  0.2500  0.7500


First-principles (PBEsol) data for Cu4PtO5 after structural relaxation, as listed in Alexandria via LeMat-Bulk.

Space group: No. 10
DFT total energy (eV/atom): -5.601

Unit cell a=4.1709 b=5.1268 c=10.5066 alpha=90.00 beta=100.08 gamma=90.00
Sites, in units of the cell vectors:
Cu  0.5000  0.5000  0.0000
Cu  0.9048  0.5000  0.8077
Cu  0.2955  0.5000  0.6034
Cu  0.7045  0.5000  0.3966
Cu  0.0952  0.5000  0.1923
Cu  0.4247  0.0000  0.8004
Cu  0.5753  0.0000  0.1996
Cu  0.0000  0.0000  0.0000
Pt  0.8066  0.0000  0.6059
Pt  0.1934  0.0000  0.3941
O  0.7065  0.7493  0.9048
O  0.1117  0.7467  0.7095
O  0.5000  0.7444  0.5000
O  0.8883  0.7467  0.2905
O  0.2935  0.7493  0.0952
O  0.7065  0.2507  0.9048
O  0.1117  0.2533  0.7095
O  0.5000  0.2556  0.5000
O  0.8883  0.2533  0.2905
O  0.2935  0.2507  0.0952


First-principles (PBEsol) data for CuPtO2 after structural relaxation, as listed in Alexandria via LeMat-Bulk.

Space group: No. 47
DFT total energy (eV/atom): -5.916

Unit cell a=2.9320 b=3.0788 c=5.2042 alpha=90.00 beta=90.00 gamma=90.00
Sites, in units of the cell vectors:
Pt  0.0000  0.0000  0.0000
Cu  0.5000  0.5000  0.5000
O  0.0000  0.5000  0.7474
O  0.0000  0.5000  0.2526


First-principles (PBEsol) data for CuPt3O after structural relaxation, as listed in Alexandria via LeMat-Bulk.

Space group: No. 221
DFT total energy (eV/atom): -4.262

Unit cell a=4.4983 b=4.4983 c=4.4983 alpha=90.00 beta=90.00 gamma=90.00
Each line ends with the local moment (μB).
Sites, in units of the cell vectors:
O  0.5000  0.5000  0.5000  1.22
Cu  0.0000  0.0000  0.0000  0.01
Pt  0.0000  0.5000  0.0000  0.30
Pt  0.0000  0.0000  0.5000  0.30
Pt  0.5000  0.0000  0.0000  0.30


First-principles (PBEsol) data for CuPtSO2 after structural relaxation, as listed in Alexandria via LeMat-Bulk.

Space group: No. 123
DFT total energy (eV/atom): -4.862

Unit cell a=3.4902 b=3.4902 c=5.6843 alpha=90.00 beta=90.00 gamma=90.00
Each line ends with the local moment (μB).
Sites, in units of the cell vectors:
O  0.0000  0.5000  0.0000  0.51
O  0.5000  0.0000  0.0000  0.51
S  0.5000  0.5000  0.5000  0.14
Cu  0.0000  0.0000  0.0000  0.25
Pt  0.0000  0.0000  0.5000  0.15